No. 1
# Ce3PmTh4Sb8

An optimized crystal structure of Ce3PmTh4Sb8 (GGA-PBE, the Alexandria database).

Results
As for the energy: -6.335 eV/atom. Its density of states at the Fermi level is 26.87 states/eV/cell. The value obtained for the formation energy without anion corrections is -1.010 eV per atom.

Cell lengths 9.007, 9.010, 9.007 Å; angles 119.99, 120.00, 90.00 degrees
Fractional coordinates of all 16 atoms:
Sb 0.750 0.749 0.999
Sb 0.250 0.749 0.499
Sb 0.750 0.251 0.001
Sb 0.750 0.749 0.499
Sb 0.250 0.251 0.001
Sb 0.250 0.251 0.501
Sb 0.250 0.749 0.999
Sb 0.750 0.251 0.501
Th 0.000 0.000 0.500
Th 0.500 0.000 0.000
Th 0.500 0.000 0.500
Th 0.000 0.000 0.000
Ce 0.000 0.500 0.500
Ce 0.500 0.500 0.000
Ce 0.500 0.500 0.500
Pm 0.000 0.500 0.000

---

No. 2
# In3SnHg6

An optimized crystal structure of In3SnHg6 (GGA-PBE, the Alexandria database).

Results
As for the energy: -1.376 eV/atom. Its density of states at the Fermi level is 2.81 states/eV/cell. The formation energy is 27.2 meV/atom.

Cell lengths 4.023, 4.023, 20.086 Å; angles 90.00, 90.00, 120.00 degrees
Fractional coordinates of all 10 atoms:
Hg 0.333 0.667 0.100
Hg 0.333 0.667 0.403
Hg 0.667 0.333 0.900
Hg 0.333 0.667 0.798
Hg 0.667 0.333 0.202
Hg 0.667 0.333 0.597
In 0.000 0.000 0.000
In 0.000 0.000 0.698
In 0.000 0.000 0.302
Sn 0.000 0.000 0.500

---

No. 3
# ZnSbW2

An optimized crystal structure of ZnSbW2 (GGA-PBE, the Alexandria database).

Results
As for the energy: -7.145 eV/atom. Its density of states at the Fermi level is 2.90 states/eV/cell. The value obtained for the formation energy without anion corrections is 0.681 eV per atom.

Cell lengths 8.933, 8.933, 8.933 Å; angles 19.46, 19.46, 19.46 degrees
Fractional coordinates of all 4 atoms:
Sb 0.750 0.750 0.750
W 0.999 0.999 0.999
W 0.501 0.501 0.501
Zn 0.250 0.250 0.250